Material: BaSb2Te
Method: DFT, PBE
State: relaxed

CIF file:
```
data_BaSb2Te
_chemical_formula_sum 'Ba2 Sb4 Te2'
_cell_length_a 11.905
_cell_length_b 4.332
_cell_length_c 5.921
_cell_angle_alpha 90.00
_cell_angle_beta 118.37
_cell_angle_gamma 90.00
_symmetry_space_group_name_H-M 'C 1 m 1'
_symmetry_Int_Tables_number 8
_symmetry_space_group_name_Hall 'C -2y'
loop_
_atom_site_label
_atom_site_type_symbol
_atom_site_fract_x
_atom_site_fract_y
_atom_site_fract_z
_atom_site_occupancy
Ba1 Ba 0.000 0.000 0.000 1
Sb1 Sb 0.277 0.500 0.305 1
Sb2 Sb 0.473 0.000 0.474 1
Te1 Te 0.210 0.000 0.696 1
```

Properties
The calculation puts the uncorrected formation energy at -2.25 eV per formula unit. For the density of states at the Fermi level, the calculation gives 4.39 states/eV per cell. As for the size of the total moment: 0.0 μB/f.u.

---

Material: HoSi2Ni2Pt
Method: DFT, PBE
State: relaxed

CIF file:
```
data_HoSi2Ni2Pt
_chemical_formula_sum 'Ho1 Si2 Ni2 Pt1'
_cell_length_a 4.543
_cell_length_b 4.543
_cell_length_c 5.362
_cell_angle_alpha 90.00
_cell_angle_beta 90.00
_cell_angle_gamma 90.00
_symmetry_space_group_name_H-M 'P 4/m m m'
_symmetry_Int_Tables_number 123
_symmetry_space_group_name_Hall '-P 4 2'
loop_
_atom_site_label
_atom_site_type_symbol
_atom_site_fract_x
_atom_site_fract_y
_atom_site_fract_z
_atom_site_occupancy
Ho1 Ho 0.000 0.000 0.000 1
Si1 Si 0.000 0.500 0.500 1
Ni1 Ni 0.500 0.500 0.260 1
Pt1 Pt 0.000 0.000 0.500 1
```

Properties
The calculation puts the uncorrected formation energy at -0.57 eV per formula unit. For the density of states at the Fermi level, the calculation gives 4.27 states/eV per cell. As for the size of the total moment: 0.0 μB/f.u.